1.
SiSe8: relaxed, PBE-GGA.

Cell: 9.774 9.774 9.774 Å, 92.05 92.05 158.21°
Positions (direct):
Se 0.639 0.361 0.000
Se 0.361 0.639 0.000
Se 0.361 0.361 0.722
Se 0.639 0.639 0.278
Se 0.813 0.000 0.813
Se 0.000 0.813 0.813
Se 0.000 0.187 0.187
Si 0.000 0.000 0.000
Se 0.187 0.000 0.187

Properties
V	340.3	Å³ per cell
raw total energy	-3.41	eV/atom

***

2.
SiSe3: relaxed, PBE-GGA.

Cell: 3.593 5.596 10.366 Å, 90.00 90.00 90.00°
Positions (direct):
Se 0.000 0.500 0.586
Se 0.500 0.199 0.882
Se 0.000 0.301 0.118
Se 0.500 0.000 0.414
Si 0.000 0.000 0.577
Se 0.000 0.699 0.118
Si 0.500 0.500 0.423
Se 0.500 0.801 0.882

Properties
V	208.4	Å³ per cell
raw total energy	-3.79	eV/atom